# SiP3Rh2

SiP3Rh2 after structural relaxation (PBE, Alexandria via LeMat-Bulk).

## Properties
Its density of states at the Fermi level is 3.8 states/eV/f.u. The energy relative to the elements, uncorrected comes out at 0.264 eV/atom.

CIF file:
```
data_SiP3Rh2
_symmetry_space_group_name_H-M 'P 1'
_symmetry_Int_Tables_number 1
_cell_length_a 4.8942
_cell_length_b 4.8942
_cell_length_c 4.3293
_cell_angle_alpha 90.00
_cell_angle_beta 90.00
_cell_angle_gamma 120.00
loop_
_symmetry_equiv_pos_as_xyz
'x,y,z'
loop_
_atom_site_label
_atom_site_fract_x
_atom_site_fract_y
_atom_site_fract_z
Si1 0.0000 0.0000 0.0000
P1 0.0000 0.5000 0.5000
P2 0.5000 0.5000 0.5000
P3 0.5000 0.0000 0.5000
Rh1 0.6667 0.3333 0.0000
Rh2 0.3333 0.6667 0.0000
```


# SiPRh3

SiPRh3 after structural relaxation (PBE, Alexandria via LeMat-Bulk).

## Properties
Its density of states at the Fermi level is 10.5 states/eV/f.u. The energy relative to the elements, uncorrected comes out at 0.223 eV/atom.

CIF file:
```
data_SiPRh3
_symmetry_space_group_name_H-M 'P 1'
_symmetry_Int_Tables_number 1
_cell_length_a 4.3747
_cell_length_b 4.3747
_cell_length_c 4.3747
_cell_angle_alpha 90.00
_cell_angle_beta 90.00
_cell_angle_gamma 90.00
loop_
_symmetry_equiv_pos_as_xyz
'x,y,z'
loop_
_atom_site_label
_atom_site_fract_x
_atom_site_fract_y
_atom_site_fract_z
P1 0.0000 0.0000 0.0000
Si1 0.5000 0.5000 0.5000
Rh1 0.0000 0.5000 0.0000
Rh2 0.0000 0.0000 0.5000
Rh3 0.5000 0.0000 0.0000
```